*A*
{
  "formula": "LaNb2CuClO7",
  "functional": "PBE",
  "state": "optimized geometry",
  "lattice_angstrom": [[3.960, 0.000, 0.000], [0.000, 3.958, 0.000], [0.000, 0.000, 11.771]],
  "species": ["O", "Cu", "Nb", "O", "O", "O", "O", "O", "Nb", "O", "Cl", "La"],
  "frac_coords": [[0.499, 0.500, 0.344], [0.583, 0.500, 0.500], [0.480, 0.500, 0.190], [0.490, 0.000, 0.154], [0.499, 0.500, 0.656], [0.990, 0.500, 0.154], [0.490, 0.000, 0.846], [0.507, 0.500, 0.000], [0.480, 0.500, 0.810], [0.990, 0.500, 0.846], [0.895, 0.000, 0.500], [0.961, 0.000, 0.000]]
}


*B*
{
  "formula": "LaNb2CuClO7",
  "functional": "PBE",
  "state": "optimized geometry",
  "lattice_angstrom": [[-6.909, 0.648, -3.716], [-3.500, -4.047, 5.802], [-2.150, 10.122, 5.763]],
  "species": ["O", "O", "O", "Nb", "O", "Cl", "O", "Nb", "O", "O", "O", "O", "O", "O", "Cu", "La", "Cl", "Cl", "Nb", "La", "Cu", "Nb", "O", "O", "Cl", "O", "O", "La", "O", "Nb", "Cu", "O", "Nb", "O", "O", "La", "O", "O", "Cu", "Nb", "O", "O", "O", "O", "Nb", "O", "O", "O"],
  "frac_coords": [[0.000, 0.000, 0.184], [0.218, 0.502, 0.342], [0.750, 0.250, 0.152], [0.252, 0.000, 0.809], [0.500, 0.500, 0.184], [0.917, 0.228, 0.500], [0.718, 0.998, 0.342], [0.752, 0.500, 0.809], [0.250, 0.250, 0.848], [0.250, 0.250, 0.152], [0.718, 0.998, 0.658], [0.500, 0.000, 0.866], [0.750, 0.750, 0.848], [0.782, 0.498, 0.342], [0.271, 0.009, 0.500], [0.500, 0.738, 0.000], [0.417, 0.272, 0.500], [0.083, 0.772, 0.500], [0.748, 0.000, 0.809], [0.000, 0.762, 0.000], [0.229, 0.509, 0.500], [0.248, 0.500, 0.191], [0.201, 0.000, 0.000], [0.799, 0.000, 0.000], [0.583, 0.728, 0.500], [0.750, 0.750, 0.152], [0.282, 0.002, 0.342], [0.500, 0.262, 0.000], [0.000, 0.500, 0.866], [0.748, 0.000, 0.191], [0.729, 0.991, 0.500], [0.250, 0.750, 0.848], [0.252, 0.000, 0.191], [0.299, 0.500, 0.000], [0.782, 0.498, 0.658], [0.000, 0.238, 0.000], [0.500, 0.500, 0.816], [0.000, 0.500, 0.134], [0.771, 0.491, 0.500], [0.752, 0.500, 0.191], [0.750, 0.250, 0.848], [0.282, 0.002, 0.658], [0.250, 0.750, 0.152], [0.500, 0.000, 0.134], [0.248, 0.500, 0.809], [0.000, 0.000, 0.816], [0.701, 0.500, 0.000], [0.218, 0.502, 0.658]]
}


Most stable to least stable: *B*, *A*


*A*
{
  "formula": "LaCuPd2Cl",
  "functional": "PBE",
  "state": "optimized geometry",
  "lattice_angstrom": [[-2.294, -2.744, 3.209], [3.896, -2.362, 0.765], [1.186, 3.087, 3.487]],
  "species": ["La", "Pd", "Cu", "Cl", "Pd"],
  "frac_coords": [[0.500, 0.500, 0.500], [0.000, 0.000, 0.500], [0.000, 0.000, 0.000], [0.000, 0.500, 0.000], [0.500, 0.000, 0.000]]
}


*B*
{
  "formula": "LaCuPd2Cl",
  "functional": "PBE",
  "state": "optimized geometry",
  "lattice_angstrom": [[-2.327, -3.923, 0.893], [4.753, -2.519, 1.321], [-0.529, 1.322, 4.425]],
  "species": ["Pd", "Cu", "Cl", "La", "Pd"],
  "frac_coords": [[0.000, 0.000, 0.500], [0.000, 0.000, 0.000], [0.500, 0.500, 0.500], [0.000, 0.500, 0.000], [0.500, 0.000, 0.000]]
}


Most stable to least stable: *A*, *B*